1.
The following is a GGA-PBE calculation of a relaxed structure of Pr2NdHoSe4, from Alexandria.

Raw formation energy = -1.810 eV/atom

Lattice parameters (Å, degrees): 7.297 4.137 7.359 90.00 108.64 90.00
Space group P2/m (No. 10)
One atom of each set of equivalent atoms:
Pr1 0.000 0.000 0.000 x1
Pr2 0.500 0.500 0.000 x1
Nd1 0.000 0.500 0.500 x1
Ho1 0.500 0.000 0.500 x1
Se1 0.255 0.000 0.741 x2
Se2 0.263 0.500 0.264 x2


2.
The following is a GGA-PBE calculation of a relaxed structure of PrNd4Ho3Se8, from Alexandria.

Raw formation energy = -1.790 eV/atom

Lattice parameters (Å, degrees): 8.2924 8.2924 20.7066 90.00 90.00 120.00
Space group R-3m (No. 166, hexagonal axes)
One atom of each set of equivalent atoms:
Pr1 0.0000 0.0000 0.0000 x3
Nd1 0.0000 0.0000 0.5000 x3
Nd2 0.0000 0.5000 0.5000 x9
Ho1 0.0000 0.5000 0.0000 x9
Se1 0.0000 0.0000 0.2557 x6
Se2 0.0090 0.5045 0.2536 x18


3.
The following is a GGA-PBE calculation of a relaxed structure of Pr3Nd3HoSe8, from Alexandria.

Raw formation energy = -1.873 eV/atom

Lattice parameters (Å, degrees): 8.4464 8.4464 20.7411 90.00 90.00 120.00
Space group R-3m (No. 166, hexagonal axes)
One atom of each set of equivalent atoms:
Pr1 0.0000 0.5000 0.0000 x9
Nd1 0.0000 0.5000 0.5000 x9
Ho1 0.0000 0.0000 0.5000 x3
Se1 0.0000 0.0000 0.2490 x6
Se2 0.0067 0.5033 0.2473 x18


4.
The following is a GGA-PBE calculation of a relaxed structure of Pr2NdHoSe5, from Alexandria.

Raw formation energy = -1.323 eV/atom

Lattice parameters (Å, degrees): 5.119 5.119 10.984 90.00 90.00 90.00
Space group P4/mmm (No. 123)
One atom of each set of equivalent atoms:
Pr1 0.000 0.000 0.178 x2
Nd1 0.500 0.500 0.500 x1
Ho1 0.500 0.500 0.000 x1
Se1 0.000 0.000 0.500 x1
Se2 0.000 0.500 0.000 x2
Se3 0.500 0.500 0.249 x2


5.
The following is a GGA-PBE calculation of a relaxed structure of PrNd3Ho2Se6, from Alexandria.

Raw formation energy = -1.804 eV/atom

Lattice parameters (Å, degrees): 7.204 12.529 7.272 90.00 109.33 90.00
Space group C2/m (No. 12)
One atom of each set of equivalent atoms:
Pr1 0.000 0.000 0.000 x2
Nd1 0.000 0.159 0.500 x4
Nd2 0.000 0.500 0.500 x2
Ho1 0.000 0.334 0.000 x4
Se1 0.233 0.500 0.236 x4
Se2 0.247 0.327 0.758 x8


6.
The following is a GGA-PBE calculation of a relaxed structure of PrNdSm4Ho2, from Alexandria.

Energy relative to the elements = 16 meV per atom

Lattice parameters (Å, degrees): 5.114 5.127 10.223 90.00 90.10 90.00
Space group P2/m (No. 10)
One atom of each set of equivalent atoms:
Pr1 0.000 0.000 0.000 x1
Nd1 0.500 0.500 0.500 x1
Sm1 0.000 0.500 0.250 x2
Sm2 0.500 0.000 0.251 x2
Ho1 0.000 0.000 0.500 x1
Ho2 0.500 0.500 0.000 x1


Repeat the fourth record exactly.
The following is a GGA-PBE calculation of a relaxed structure of Pr2NdHoSe5, from Alexandria.

Raw formation energy = -1.323 eV/atom

Lattice parameters (Å, degrees): 5.119 5.119 10.984 90.00 90.00 90.00
Space group P4/mmm (No. 123)
One atom of each set of equivalent atoms:
Pr1 0.000 0.000 0.178 x2
Nd1 0.500 0.500 0.500 x1
Ho1 0.500 0.500 0.000 x1
Se1 0.000 0.000 0.500 x1
Se2 0.000 0.500 0.000 x2
Se3 0.500 0.500 0.249 x2


What did the fourth record say?
The following is a GGA-PBE calculation of a relaxed structure of Pr2NdHoSe5, from Alexandria.

Raw formation energy = -1.323 eV/atom

Lattice parameters (Å, degrees): 5.119 5.119 10.984 90.00 90.00 90.00
Space group P4/mmm (No. 123)
One atom of each set of equivalent atoms:
Pr1 0.000 0.000 0.178 x2
Nd1 0.500 0.500 0.500 x1
Ho1 0.500 0.500 0.000 x1
Se1 0.000 0.000 0.500 x1
Se2 0.000 0.500 0.000 x2
Se3 0.500 0.500 0.249 x2